[1]
Compound: SrLiBe2
Source: the Alexandria database
Functional: PBE
Structure: optimized geometry

Values from the calculation:
- E_tot: -2.2319 eV/atom
- Size of the total moment: 0.00 μB/cell
- Crystal system: tetragonal
- D(E_F): 2.7 states/eV/cell

Lattice parameters (Å, degrees): 3.300 3.300 6.924 90.00 90.00 90.00
Space group P4/mmm (No. 123)
Symmetry-distinct sites (fractional):
Sr: 0.000 0.000 0.000 x1
Li: 0.000 0.000 0.500 x1
Be: 0.500 0.500 0.337 x2

***

[2]
Compound: LiSmBr2
Source: the Alexandria database
Functional: PBE
Structure: optimized geometry

Values from the calculation:
- Formation energy (no corrections): -1.2052 eV/atom
- E_tot: -3.6999 eV/atom
- Size of the total moment: 0.00 μB/cell
- Crystal system: trigonal
- D(E_F): 2.4 states/eV/cell

Lattice parameters (Å, degrees): 3.9295 3.9295 26.1729 90.00 90.00 120.00
Space group R-3m (No. 166, hexagonal axes)
Symmetry-distinct sites (fractional):
Li: 0.0000 0.0000 0.0000 x3
Sm: 0.0000 0.0000 0.5000 x3
Br: 0.0000 0.0000 0.3913 x6

***

[3]
Compound: Pr4PbSeS2
Source: the Alexandria database
Functional: PBE
Structure: optimized geometry

Values from the calculation:
- Formation energy (no corrections): -1.5799 eV/atom
- E_tot: -5.9006 eV/atom
- Size of the total moment: 0.00 μB/cell
- Crystal system: monoclinic
- D(E_F): 4.0 states/eV/cell

Lattice parameters (Å, degrees): 7.418 4.262 7.443 90.00 109.38 90.00
Space group P2/m (No. 10)
Symmetry-distinct sites (fractional):
Pr: 0.234 0.000 0.227 x2
Pr: 0.251 0.500 0.768 x2
Pb: 0.500 0.500 0.500 x1
Se: 0.000 0.000 0.500 x1
S: 0.000 0.500 0.000 x1
S: 0.500 0.000 0.000 x1

***

[4]
Compound: Nd12Ho6Cd
Source: the Alexandria database
Functional: PBE
Structure: optimized geometry

Values from the calculation:
- E_tot: -4.3918 eV/atom
- Size of the total moment: 0.00 μB/cell
- Crystal system: trigonal
- D(E_F): 78.6 states/eV/cell

Lattice parameters (Å, degrees): 13.1614 13.1614 12.9673 90.00 90.00 120.00
Space group R-3 (No. 148, hexagonal axes)
Symmetry-distinct sites (fractional):
Nd: 0.9995 0.2591 0.9998 x18
Nd: 0.0598 0.5298 0.1105 x18
Ho: 0.0892 0.9098 0.7733 x18
Cd: 0.0000 0.0000 0.0000 x3

***

[5]
Compound: NpCdOsO6
Source: the Alexandria database
Functional: PBE
Structure: optimized geometry

Values from the calculation:
- Formation energy (no corrections): -1.7286 eV/atom
- E_tot: -7.8214 eV/atom
- Size of the total moment: 6.10 μB/cell
- Crystal system: trigonal
- D(E_F): 10.3 states/eV/cell

Lattice parameters (Å, degrees): 5.3644 5.3644 9.9303 90.00 90.00 120.00
Space group P-31c (No. 163)
Symmetry-distinct sites (fractional):
Np: 0.3333 0.6667 0.2500 x2
Cd: 0.0000 0.0000 0.0000 x2
Os: 0.3333 0.6667 0.7500 x2
O: 0.0168 0.3622 0.6388 x12

***

[6]
Compound: Rb2CaAlBr6
Source: the Alexandria database
Functional: PBE
Structure: optimized geometry

Values from the calculation:
- Formation energy (no corrections): -1.4730 eV/atom
- E_tot: -3.2447 eV/atom
- Size of the total moment: 3.70 μB/cell
- Crystal system: cubic
- D(E_F): 7.1 states/eV/cell

Lattice parameters (Å, degrees): 11.202 11.202 11.202 90.00 90.00 90.00
Space group Fm-3m (No. 225)
Symmetry-distinct sites (fractional):
Rb: 0.250 0.250 0.250 x8
Ca: 0.000 0.000 0.000 x4
Al: 0.000 0.000 0.500 x4
Br: 0.000 0.000 0.258 x24

***

[7]
Compound: LiPuMgIr
Source: the Alexandria database
Functional: PBE
Structure: optimized geometry

Values from the calculation:
- E_tot: -6.9097 eV/atom
- Size of the total moment: 22.47 μB/cell
- Crystal system: cubic
- D(E_F): 41.8 states/eV/cell

Lattice parameters (Å, degrees): 6.708 6.708 6.708 90.00 90.00 90.00
Space group F-43m (No. 216)
Symmetry-distinct sites (fractional):
Li: 0.000 0.000 0.000 x4
Pu: 0.250 0.250 0.750 x4
Mg: 0.250 0.250 0.250 x4
Ir: 0.000 0.000 0.500 x4

***

[8]
Compound: CaVTc2
Source: the Alexandria database
Functional: PBE
Structure: optimized geometry

Values from the calculation:
- E_tot: -7.4543 eV/atom
- Size of the total moment: 0.00 μB/cell
- Crystal system: cubic
- D(E_F): 15.7 states/eV/cell

Lattice parameters (Å, degrees): 6.369 6.369 6.369 90.00 90.00 90.00
Space group Fm-3m (No. 225)
Symmetry-distinct sites (fractional):
Ca: 0.000 0.000 0.000 x4
V: 0.000 0.000 0.500 x4
Tc: 0.250 0.250 0.250 x8

***

[9]
Compound: PtRh2Pb
Source: the Alexandria database
Functional: PBE
Structure: optimized geometry

Values from the calculation:
- E_tot: -6.0612 eV/atom
- Size of the total moment: 2.30 μB/cell
- Crystal system: tetragonal
- D(E_F): 9.7 states/eV/cell

Lattice parameters (Å, degrees): 4.117 4.117 7.900 90.00 90.00 90.00
Space group I-4m2 (No. 119)
Symmetry-distinct sites (fractional):
Pt: 0.000 0.000 0.000 x2
Rh: 0.000 0.000 0.500 x2
Rh: 0.000 0.500 0.750 x2
Pb: 0.000 0.500 0.250 x2

***

[10]
Compound: Na3LaAu4
Source: the Alexandria database
Functional: PBE
Structure: optimized geometry

Values from the calculation:
- E_tot: -3.2184 eV/atom
- Size of the total moment: 0.00 μB/cell
- Crystal system: trigonal
- D(E_F): 8.2 states/eV/cell

Lattice parameters (Å, degrees): 5.1000 5.1000 25.1764 90.00 90.00 120.00
Space group R-3m (No. 166, hexagonal axes)
Symmetry-distinct sites (fractional):
Na: 0.0000 0.0000 0.0000 x3
Na: 0.0000 0.0000 0.2576 x6
La: 0.0000 0.0000 0.5000 x3
Au: 0.0000 0.0000 0.1234 x6
Au: 0.0000 0.0000 0.3794 x6

***

[11]
Compound: MnAg2Au
Source: the Alexandria database
Functional: PBE
Structure: optimized geometry

Values from the calculation:
- E_tot: -4.4389 eV/atom
- Size of the total moment: 4.46 μB/cell
- Crystal system: tetragonal
- D(E_F): 2.3 states/eV/cell

Lattice parameters (Å, degrees): 4.033 4.033 4.295 90.00 90.00 90.00
Space group P4/mmm (No. 123)
Symmetry-distinct sites (fractional):
Mn: 0.000 0.000 0.000 x1
Ag: 0.000 0.500 0.500 x2
Au: 0.500 0.500 0.000 x1

***

[12]
Compound: CsInI2
Source: the Alexandria database
Functional: PBE
Structure: optimized geometry

Values from the calculation:
- Formation energy (no corrections): -0.9858 eV/atom
- E_tot: -2.6589 eV/atom
- Size of the total moment: 0.00 μB/cell
- Crystal system: trigonal
- D(E_F): 0.0 states/eV/cell

Lattice parameters (Å, degrees): 5.2746 5.2746 25.6263 90.00 90.00 120.00
Space group R-3m (No. 166, hexagonal axes)
Symmetry-distinct sites (fractional):
Cs: 0.0000 0.0000 0.0000 x3
In: 0.0000 0.0000 0.5000 x3
I: 0.0000 0.0000 0.2404 x6

***

[13]
Compound: AsWCl2
Source: the Alexandria database
Functional: PBE
Structure: optimized geometry

Values from the calculation:
- Formation energy (no corrections): 0.1420 eV/atom
- E_tot: -5.1820 eV/atom
- Size of the total moment: 0.00 μB/cell
- Crystal system: trigonal
- D(E_F): 5.9 states/eV/cell

Lattice parameters (Å, degrees): 3.0242 3.0242 34.4160 90.00 90.00 120.00
Space group R-3m (No. 166, hexagonal axes)
Symmetry-distinct sites (fractional):
As: 0.0000 0.0000 0.0000 x3
W: 0.0000 0.0000 0.5000 x3
Cl: 0.0000 0.0000 0.1148 x6

***

[14]
Compound: BaLa3B
Source: the Alexandria database
Functional: PBE
Structure: optimized geometry

Values from the calculation:
- E_tot: -2.9718 eV/atom
- Size of the total moment: 0.00 μB/cell
- Crystal system: cubic
- D(E_F): 7.4 states/eV/cell

Lattice parameters (Å, degrees): 5.846 5.846 5.846 90.00 90.00 90.00
Space group Pm-3m (No. 221)
Symmetry-distinct sites (fractional):
Ba: 0.000 0.000 0.000 x1
La: 0.000 0.000 0.500 x3
B: 0.500 0.500 0.500 x1

***

[15]
Compound: Zr2MnAsPt
Source: the Alexandria database
Functional: PBE
Structure: optimized geometry

Values from the calculation:
- E_tot: -7.3998 eV/atom
- Size of the total moment: 0.00 μB/cell
- Crystal system: tetragonal
- D(E_F): 4.0 states/eV/cell

Lattice parameters (Å, degrees): 4.827 4.827 4.295 90.00 90.00 90.00
Space group P4/mmm (No. 123)
Symmetry-distinct sites (fractional):
Zr: 0.000 0.500 0.000 x2
Mn: 0.000 0.000 0.000 x1
As: 0.000 0.000 0.500 x1
Pt: 0.500 0.500 0.500 x1

***

[16]
Compound: KSi3Os
Source: the Alexandria database
Functional: PBE
Structure: optimized geometry

Values from the calculation:
- Formation energy (no corrections): 3.0048 eV/atom
- E_tot: -2.7145 eV/atom
- Size of the total moment: 1.81 μB/cell
- Crystal system: cubic
- D(E_F): 7.2 states/eV/cell

Lattice parameters (Å, degrees): 4.881 4.881 4.881 90.00 90.00 90.00
Space group Pm-3m (No. 221)
Symmetry-distinct sites (fractional):
K: 0.000 0.000 0.000 x1
Si: 0.000 0.000 0.500 x3
Os: 0.500 0.500 0.500 x1

***

[17]
Compound: Ba2NaPd
Source: the Alexandria database
Functional: PBE
Structure: optimized geometry

Values from the calculation:
- E_tot: -2.8789 eV/atom
- Size of the total moment: 0.00 μB/cell
- Crystal system: trigonal
- D(E_F): 8.5 states/eV/cell

Lattice parameters (Å, degrees): 4.5807 4.5807 30.3714 90.00 90.00 120.00
Space group R3m (No. 160, hexagonal axes)
Symmetry-distinct sites (fractional):
Ba: 0.0000 0.0000 0.0000 x3
Ba: 0.0000 0.0000 0.2167 x3
Na: 0.0000 0.0000 0.4426 x3
Pd: 0.0000 0.0000 0.6081 x3

***

[18]
Compound: PrAg2O4
Source: the Alexandria database
Functional: PBE
Structure: optimized geometry

Values from the calculation:
- Formation energy (no corrections): -1.1223 eV/atom
- E_tot: -5.4530 eV/atom
- Size of the total moment: 0.00 μB/cell
- Crystal system: trigonal
- D(E_F): 10.1 states/eV/cell

Lattice parameters (Å, degrees): 4.0456 4.0456 23.0687 90.00 90.00 120.00
Space group R-3m (No. 166, hexagonal axes)
Symmetry-distinct sites (fractional):
Pr: 0.0000 0.0000 0.0000 x3
Ag: 0.0000 0.0000 0.2110 x6
O: 0.0000 0.0000 0.1192 x6
O: 0.0000 0.0000 0.2980 x6

***

[19]
Compound: LaCdPt
Source: the Alexandria database
Functional: PBE
Structure: optimized geometry

Values from the calculation:
- E_tot: -4.7336 eV/atom
- Size of the total moment: 0.00 μB/cell
- Crystal system: cubic
- D(E_F): 10.7 states/eV/cell

Lattice parameters (Å, degrees): 6.899 6.899 6.899 90.00 90.00 90.00
Space group F-43m (No. 216)
Symmetry-distinct sites (fractional):
La: 0.000 0.000 0.000 x4
Cd: 0.000 0.000 0.500 x4
Pt: 0.250 0.250 0.750 x4

***

[20]
Compound: KFePt
Source: the Alexandria database
Functional: PBE
Structure: optimized geometry

Values from the calculation:
- E_tot: -4.9832 eV/atom
- Size of the total moment: 6.29 μB/cell
- Crystal system: orthorhombic
- D(E_F): 7.3 states/eV/cell

Lattice parameters (Å, degrees): 2.839 4.090 11.781 90.00 90.00 90.00
Space group Imm2 (No. 44)
Symmetry-distinct sites (fractional):
K: 0.000 0.000 0.000 x2
Fe: 0.000 0.000 0.267 x2
Pt: 0.000 0.000 0.724 x2